Record 1
Computed, not measured: a relaxed Cs2CaPuBr6 crystal at the GGA-PBE level of DFT.

Output
The total magnetization is 12.0 Bohr magnetons per cell. As for the formation energy from raw total energies: -1.756 eV per atom.

a = 8.2752 Å, b = 11.7033 Å, c = 8.2777 Å
α = 90.00°, β = 90.00°, γ = 90.00°
Last column: nearest neighbours and their distance in Å.
Sites, in units of the cell vectors:
Cs (0.2500, 0.9999, 0.2504)  12 Br 4.13-4.15
Cs (0.2500, 0.5001, 0.2504)  12 Br 4.13-4.15
Cs (0.7500, 0.0001, 0.7496)  12 Br 4.13-4.15
Cs (0.7500, 0.4999, 0.7496)  12 Br 4.13-4.15
Ca (0.2500, 0.2500, 0.7497)  6 Br 2.88
Ca (0.7500, 0.7500, 0.2503)  6 Br 2.88
Pu (0.2500, 0.7500, 0.7504)  6 Br 2.97
Pu (0.7500, 0.2500, 0.2496)  6 Br 2.97
Br (0.0038, 0.2500, 0.5031)  1 Ca 2.88, 1 Pu 2.97
Br (0.0035, 0.2500, 0.9959)  1 Ca 2.88, 1 Pu 2.97
Br (0.2500, 0.0037, 0.7497)  1 Ca 2.88, 1 Pu 2.97
Br (0.2500, 0.4963, 0.7497)  1 Ca 2.88, 1 Pu 2.97
Br (0.4962, 0.2500, 0.5031)  1 Ca 2.88, 1 Pu 2.97
Br (0.4965, 0.2500, 0.9959)  1 Ca 2.88, 1 Pu 2.97
Br (0.5035, 0.7500, 0.0041)  1 Ca 2.88, 1 Pu 2.97
Br (0.5038, 0.7500, 0.4969)  1 Ca 2.88, 1 Pu 2.97
Br (0.7500, 0.5037, 0.2503)  1 Ca 2.88, 1 Pu 2.97
Br (0.7500, 0.9963, 0.2503)  1 Ca 2.88, 1 Pu 2.97
Br (0.9965, 0.7500, 0.0041)  1 Ca 2.88, 1 Pu 2.97
Br (0.9962, 0.7500, 0.4969)  1 Ca 2.88, 1 Pu 2.97


Record 2
Computed, not measured: a relaxed Ce2TlTcO8 crystal at the GGA-PBE level of DFT.

Output
The total magnetization is 1.7 Bohr magnetons per cell. As for the formation energy from raw total energies: -2.132 eV per atom.

a = 4.9838 Å, b = 4.9838 Å, c = 7.1103 Å
α = 90.00°, β = 90.00°, γ = 91.24°
Last column: nearest neighbours and their distance in Å.
Sites, in units of the cell vectors:
Ce (0.0000, 0.0000, 0.2452)  6 O 2.23-2.31
Ce (0.0000, 0.0000, 0.7548)  6 O 2.23-2.31
Tl (0.5000, 0.5000, 0.5000)  2 O 2.18
Tc (0.5000, 0.5000, 0.0000)  6 O 1.97
O (0.1866, 0.1866, 0.5000)  1 Tl 2.18, 2 Ce 2.23
O (0.2180, 0.2180, 0.0000)  1 Tc 1.97
O (0.3155, 0.6845, 0.2057)  1 Tc 1.97
O (0.3155, 0.6845, 0.7943)  1 Tc 1.97
O (0.6845, 0.3155, 0.2057)  1 Tc 1.97
O (0.6845, 0.3155, 0.7943)  1 Tc 1.97
O (0.7820, 0.7820, 0.0000)  1 Tc 1.97
O (0.8134, 0.8134, 0.5000)  1 Tl 2.18, 2 Ce 2.23


Record 3
Computed, not measured: a relaxed Ag2TePb crystal at the GGA-PBE level of DFT.

Output
The total magnetization is 0.0 Bohr magnetons per cell. As for the formation energy from raw total energies: 0.102 eV per atom.

a = 6.1009 Å, b = 6.1009 Å, c = 6.1009 Å
α = 138.43°, β = 138.43°, γ = 60.24°
Last column: nearest neighbours and their distance in Å.
Sites, in units of the cell vectors:
Ag (0.0000, 0.0000, 0.0000)  4 Te 3.06, 4 Pb 3.41, 4 Ag 3.41
Ag (0.7500, 0.2500, 0.5000)  4 Pb 3.06, 4 Te 3.41, 4 Ag 3.41
Te (0.5000, 0.5000, 0.0000)  8 Ag 3.06-3.41, 4 Pb 3.41
Pb (0.2500, 0.7500, 0.5000)  8 Ag 3.06-3.41, 4 Te 3.41


Record 4
Computed, not measured: a relaxed Ta3Mn2V7 crystal at the GGA-PBE level of DFT.

Output
The total magnetization is 0.0 Bohr magnetons per cell. As for the formation enthalpy at 0 K: -0.32 kcal/mol of atoms.

a = 8.4396 Å, b = 8.4396 Å, c = 8.4396 Å
α = 34.70°, β = 34.70°, γ = 34.70°
Last column: nearest neighbours and their distance in Å.
Sites, in units of the cell vectors:
Ta (0.0000, 0.0000, 0.0000)  6 Mn 2.91, 12 V 3.17
Ta (0.1445, 0.1445, 0.1445)  12 V 2.93-2.95, 3 Ta 3.09
Ta (0.8555, 0.8555, 0.8555)  12 V 2.93-2.95, 3 Ta 3.09
Mn (0.3318, 0.3318, 0.3318)  6 V 2.39-2.45
Mn (0.6682, 0.6682, 0.6682)  6 V 2.39-2.45
V (0.0792, 0.5825, 0.5825)  2 Mn 2.39-2.45, 5 V 2.50-2.53
V (0.4175, 0.4175, 0.9208)  2 Mn 2.39-2.45, 5 V 2.50-2.53
V (0.4175, 0.9208, 0.4175)  2 Mn 2.39-2.45, 5 V 2.50-2.53
V (0.5000, 0.5000, 0.5000)  6 V 2.50
V (0.5825, 0.0792, 0.5825)  2 Mn 2.39-2.45, 5 V 2.50-2.53
V (0.5825, 0.5825, 0.0792)  2 Mn 2.39-2.45, 5 V 2.50-2.53
V (0.9208, 0.4175, 0.4175)  2 Mn 2.39-2.45, 5 V 2.50-2.53


Record 5
Computed, not measured: a relaxed Hf3AuC crystal at the GGA-PBE level of DFT.

Output
The total magnetization is 0.0 Bohr magnetons per cell. As for the formation enthalpy at 0 K: -15.92 kcal/mol of atoms.

a = 6.0783 Å, b = 6.0783 Å, c = 8.9928 Å
α = 90.00°, β = 90.00°, γ = 148.00°
Last column: nearest neighbours and their distance in Å.
Sites, in units of the cell vectors:
Hf (0.0476, 0.9524, 0.7500)  2 C 2.32
Hf (0.3739, 0.6261, 0.5509)  2 C 2.28
Hf (0.3739, 0.6261, 0.9491)  2 C 2.28
Hf (0.6261, 0.3739, 0.0509)  2 C 2.28
Hf (0.6261, 0.3739, 0.4491)  2 C 2.28
Hf (0.9524, 0.0476, 0.2500)  2 C 2.32
Au (0.2520, 0.7480, 0.2500)  8 Hf 2.86-3.06
Au (0.7480, 0.2520, 0.7500)  8 Hf 2.86-3.06
C (0.0000, 0.0000, 0.0000)  6 Hf 2.28-2.32
C (0.0000, 0.0000, 0.5000)  6 Hf 2.28-2.32


Record 6
Computed, not measured: a relaxed V3Ir2 crystal at the GGA-PBE level of DFT.

Output
The total magnetization is 0.0 Bohr magnetons per cell. As for the formation enthalpy at 0 K: -4.49 kcal/mol of atoms.

a = 9.6462 Å, b = 2.7458 Å, c = 10.8899 Å
α = 90.00°, β = 90.00°, γ = 90.00°
Last column: nearest neighbours and their distance in Å.
Sites, in units of the cell vectors:
V (0.0620, 0.2500, 0.1201)  5 Ir 2.56-2.62, 2 V 2.75
V (0.1117, 0.7500, 0.5578)  4 V 2.50-2.75, 5 Ir 2.56-2.65
V (0.1804, 0.2500, 0.7393)  4 Ir 2.48-2.68, 4 V 2.50-2.75
V (0.3196, 0.7500, 0.2393)  4 Ir 2.48-2.68, 4 V 2.50-2.75
V (0.3883, 0.2500, 0.0578)  4 V 2.50-2.75, 5 Ir 2.56-2.65
V (0.4380, 0.7500, 0.6201)  5 Ir 2.56-2.62, 2 V 2.75
V (0.5620, 0.2500, 0.3799)  5 Ir 2.56-2.62, 2 V 2.75
V (0.6117, 0.7500, 0.9422)  4 V 2.50-2.75, 5 Ir 2.56-2.65
V (0.6804, 0.2500, 0.7607)  4 Ir 2.48-2.68, 4 V 2.50-2.75
V (0.8196, 0.7500, 0.2607)  4 Ir 2.48-2.68, 4 V 2.50-2.75
V (0.8883, 0.2500, 0.4422)  4 V 2.50-2.75, 5 Ir 2.56-2.65
V (0.9380, 0.7500, 0.8799)  5 Ir 2.56-2.62, 2 V 2.75
Ir (0.0815, 0.7500, 0.3240)  7 V 2.48-2.65, 2 Ir 2.75
Ir (0.1909, 0.7500, 0.9505)  7 V 2.56-2.68, 2 Ir 2.75
Ir (0.3091, 0.2500, 0.4505)  7 V 2.56-2.68, 2 Ir 2.75
Ir (0.4185, 0.2500, 0.8240)  7 V 2.48-2.65, 2 Ir 2.75
Ir (0.5815, 0.7500, 0.1760)  7 V 2.48-2.65, 2 Ir 2.75
Ir (0.6909, 0.7500, 0.5495)  7 V 2.56-2.68, 2 Ir 2.75
Ir (0.8091, 0.2500, 0.0495)  7 V 2.56-2.68, 2 Ir 2.75
Ir (0.9185, 0.2500, 0.6760)  7 V 2.48-2.65, 2 Ir 2.75


Record 7
Computed, not measured: a relaxed TlSiSe2 crystal at the GGA-PBE level of DFT.

Output
The total magnetization is 0.0 Bohr magnetons per cell. As for the formation energy from raw total energies: -0.008 eV per atom.

a = 8.9512 Å, b = 8.9512 Å, c = 8.9512 Å
α = 24.25°, β = 24.25°, γ = 24.25°
Last column: nearest neighbours and their distance in Å.
Sites, in units of the cell vectors:
Tl (0.0000, 0.0000, 0.0000)  3 Se 2.78, 3 Si 3.07
Si (0.2499, 0.2499, 0.2499)  3 Se 2.53
Se (0.5335, 0.5335, 0.5335)  3 Si 2.53
Se (0.7334, 0.7334, 0.7334)  3 Tl 2.78


Record 8
Computed, not measured: a relaxed Cs2MgSbTe4 crystal at the GGA-PBE level of DFT.

Output
The total magnetization is 0.0 Bohr magnetons per cell. As for the formation energy from raw total energies: -0.646 eV per atom.

a = 15.8415 Å, b = 14.1621 Å, c = 8.6602 Å
α = 84.24°, β = 62.81°, γ = 32.95°
Last column: nearest neighbours and their distance in Å.
Sites, in units of the cell vectors:
Cs (0.0565, 0.0565, 0.6935)  8 Te 4.11-4.23
Cs (0.3065, 0.3065, 0.9435)  8 Te 4.11-4.23
Cs (0.6935, 0.6935, 0.0565)  8 Te 4.11-4.23
Cs (0.9435, 0.9435, 0.3065)  8 Te 4.11-4.23
Mg (0.1250, 0.1250, 0.1250)  4 Te 2.83
Mg (0.8750, 0.8750, 0.8750)  4 Te 2.83
Sb (0.3750, 0.3750, 0.3750)  4 Te 2.86
Sb (0.6250, 0.6250, 0.6250)  4 Te 2.86
Te (0.0373, 0.3235, 0.4208)  1 Mg 2.83, 1 Sb 2.86
Te (0.2815, 0.5792, 0.6765)  1 Mg 2.83, 1 Sb 2.86
Te (0.3235, 0.0373, 0.7185)  1 Mg 2.83, 1 Sb 2.86
Te (0.4208, 0.7185, 0.0373)  1 Mg 2.83, 1 Sb 2.86
Te (0.5792, 0.2815, 0.9627)  1 Mg 2.83, 1 Sb 2.86
Te (0.6765, 0.9627, 0.2815)  1 Mg 2.83, 1 Sb 2.86
Te (0.7185, 0.4208, 0.3235)  1 Mg 2.83, 1 Sb 2.86
Te (0.9627, 0.6765, 0.5792)  1 Mg 2.83, 1 Sb 2.86


Record 9
Computed, not measured: a relaxed Sn2H2W crystal at the GGA-PBE level of DFT.

Output
The total magnetization is 0.0 Bohr magnetons per cell.

a = 6.4263 Å, b = 6.4263 Å, c = 3.3328 Å
α = 90.00°, β = 90.00°, γ = 90.00°
Last column: nearest neighbours and their distance in Å.
Sites, in units of the cell vectors:
Sn (0.1553, 0.3447, 0.0000)  2 H 2.15
Sn (0.3447, 0.8447, 0.0000)  2 H 2.15
Sn (0.6553, 0.1553, 0.0000)  2 H 2.15
Sn (0.8447, 0.6553, 0.0000)  2 H 2.15
H (0.1953, 0.6953, 0.5000)  2 Sn 2.15, 2 W 2.33
H (0.3047, 0.1953, 0.5000)  2 Sn 2.15, 2 W 2.33
H (0.6953, 0.8047, 0.5000)  2 Sn 2.15, 2 W 2.33
H (0.8047, 0.3047, 0.5000)  2 Sn 2.15, 2 W 2.33
W (0.0000, 0.0000, 0.5000)  4 H 2.33
W (0.5000, 0.5000, 0.5000)  4 H 2.33


Record 10
Computed, not measured: a relaxed Cs2CeUO6 crystal at the GGA-PBE level of DFT.

Output
The total magnetization is 0.0 Bohr magnetons per cell. As for the formation energy from raw total energies: -2.795 eV per atom.

a = 6.2795 Å, b = 6.2795 Å, c = 6.2795 Å
α = 60.00°, β = 60.00°, γ = 60.00°
Last column: nearest neighbours and their distance in Å.
Sites, in units of the cell vectors:
Cs (0.2500, 0.2500, 0.2500)  12 O 3.14
Cs (0.7500, 0.7500, 0.7500)  12 O 3.14
Ce (0.0000, 0.0000, 0.0000)  6 O 2.32
U (0.5000, 0.5000, 0.5000)  6 O 2.12
O (0.2608, 0.2608, 0.7392)  1 U 2.12, 1 Ce 2.32
O (0.2608, 0.7392, 0.2608)  1 U 2.12, 1 Ce 2.32
O (0.2608, 0.7392, 0.7392)  1 U 2.12, 1 Ce 2.32
O (0.7392, 0.2608, 0.2608)  1 U 2.12, 1 Ce 2.32
O (0.7392, 0.2608, 0.7392)  1 U 2.12, 1 Ce 2.32
O (0.7392, 0.7392, 0.2608)  1 U 2.12, 1 Ce 2.32


The records above yield energy values of -4.563 -7.487 -3.036 -9.824 -9.163 -9.210 -3.698 -3.145 -4.868 -7.663 eV per atom, respectively.